[1]
Computed, not measured: an optimized crystal structure of Li4AuBr at the PBE level of DFT.

Computed properties:
As for the space group: No. 216. The value obtained for the formation energy from raw total energies is -0.18 eV per atom.

Cell: 5.4667 5.4667 5.4667 Å, 60.00 60.00 60.00°
Last column: magnetic moment on the atom in μB.
Fractional positions:
1 Li 0.3754 0.3754 0.8738  0.11
2 Au 0.7500 0.7500 0.7500  0.07
3 Li 0.8738 0.3754 0.3754  0.11
4 Li 0.3754 0.3754 0.3754  0.11
5 Br 0.0000 0.0000 0.0000  0.10
6 Li 0.3754 0.8738 0.3754  0.11

=====

[2]
Computed, not measured: an optimized crystal structure of KTiMnS4 at the PBE level of DFT.

Computed properties:
As for the space group: No. 11. The value obtained for the formation energy from raw total energies is -0.95 eV per atom.

Cell: 6.2090 6.6933 9.5839 Å, 90.00 124.56 90.00°
Last column: magnetic moment on the atom in μB.
Fractional positions:
1 Mn 0.2165 0.7500 0.3561  3.23
2 S 0.3627 0.7500 0.1893  0.00
3 S 0.6373 0.2500 0.8107  0.00
4 S 0.0734 0.4917 0.6804  -0.03
5 S 0.0734 0.0083 0.6804  -0.03
6 Ti 0.2108 0.2500 0.5491  0.39
7 S 0.9266 0.9917 0.3196  -0.03
8 S 0.4079 0.2500 0.3976  0.01
9 Mn 0.7835 0.2500 0.6439  3.23
10 K 0.6367 0.7500 0.9390  0.00
11 S 0.5921 0.7500 0.6024  0.01
12 K 0.3633 0.2500 0.0610  0.00
13 S 0.9266 0.5083 0.3196  -0.03
14 Ti 0.7892 0.7500 0.4509  0.39

=====

[3]
Computed, not measured: an optimized crystal structure of Nd4Se5 at the PBE level of DFT.

Computed properties:
As for the space group: No. 139. The value obtained for the formation energy from raw total energies is -1.23 eV per atom.

Cell: 3.7662 8.9706 8.9706 Å, 87.47 77.88 77.88°
Last column: magnetic moment on the atom in μB.
Fractional positions:
1 Se 0.2724 0.7276 0.7276  -0.01
2 Nd 0.6469 0.7062 0.0000  0.17
3 Nd 0.3531 0.2938 0.0000  0.17
4 Se 0.0000 0.0000 0.0000  0.00
5 Nd 0.3531 0.0000 0.2938  0.17
6 Nd 0.6469 0.0000 0.7062  0.17
7 Se 0.7276 0.2724 0.2724  -0.01
8 Se 0.0000 0.2724 0.7276  -0.01
9 Se 0.0000 0.7276 0.2724  -0.01

=====

[4]
Computed, not measured: an optimized crystal structure of DyAlZn2 at the PBE level of DFT.

Computed properties:
The formation energy comes out at -0.40 eV per atom. As for the space group: No. 63. The calculation puts the distance to the lowest polymorph of the same formula at 0.0 kJ per mole of atoms.

Cell: 4.4552 6.5062 10.3774 Å, 90.00 90.00 90.00°
Fractional positions:
1 Zn 0.2500 0.9450 0.3686
2 Zn 0.2500 0.0549 0.1310
3 Al 0.7500 0.7503 0.4479
4 Dy 0.2500 0.2500 0.8459
5 Al 0.2500 0.7497 0.9479
6 Dy 0.7500 0.7500 0.1541
7 Al 0.7500 0.2503 0.0521
8 Zn 0.7500 0.4451 0.6310
9 Dy 0.7500 0.2500 0.3459
10 Zn 0.2500 0.5549 0.3690
11 Zn 0.7500 0.9451 0.8690
12 Zn 0.7500 0.5550 0.8686
13 Dy 0.2500 0.7500 0.6541
14 Zn 0.7500 0.0550 0.6314
15 Zn 0.2500 0.4450 0.1314
16 Al 0.2500 0.2497 0.5521

=====

[5]
Computed, not measured: an optimized crystal structure of CeSi2Ni at the PBE level of DFT.

Computed properties:
As for the space group: No. 63. The value obtained for the formation energy from raw total energies is -0.83 eV per atom.

Cell: 4.0570 4.1082 8.3836 Å, 104.18 90.00 90.00°
Fractional positions:
1 Si 0.7500 0.9604 0.9207
2 Ni 0.2500 0.1808 0.3614
3 Ni 0.7500 0.8192 0.6386
4 Si 0.2500 0.0396 0.0793
5 Si 0.2500 0.7493 0.4985
6 Ce 0.2500 0.3939 0.7876
7 Ce 0.7500 0.6061 0.2124
8 Si 0.7500 0.2507 0.5015

=====

[6]
Computed, not measured: an optimized crystal structure of AlAgSb2Te at the PBE level of DFT.

Computed properties:
As for the space group: No. 123. The calculation puts the distance to the lowest polymorph of the same formula at 13.2 kJ per mole of atoms. The value obtained for the formation energy from raw total energies is 0.71 eV per atom.

Cell: 5.3690 5.3690 5.5635 Å, 90.00 90.00 90.00°
Fractional positions:
1 Sb 0.5000 0.0000 0.0000
2 Ag 0.0000 0.0000 0.0000
3 Te 0.0000 0.0000 0.5000
4 Al 0.5000 0.5000 0.5000
5 Sb 0.0000 0.5000 0.0000

=====

[7]
Computed, not measured: an optimized crystal structure of LiGe6Ru5 at the PBE level of DFT.

Computed properties:
The formation energy comes out at -0.21 eV per atom. As for the space group: No. 12.

Cell: 7.4243 4.2867 6.8707 Å, 71.82 79.64 54.81°
Fractional positions:
1 Ge 0.7512 0.7491 0.0000
2 Ge 0.2488 0.2509 0.0000
3 Ru 0.0000 0.6650 0.6701
4 Ru 0.5000 0.1673 0.6654
5 Ge 0.7489 0.4189 0.6646
6 Ge 0.2511 0.5811 0.3354
7 Ru 0.5000 0.5000 0.0000
8 Ru 0.0000 0.3350 0.3299
9 Ru 0.5000 0.8327 0.3346
10 Ge 0.7489 0.0835 0.3354
11 Li 0.0000 0.0000 0.0000
12 Ge 0.2511 0.9165 0.6646

=====

[8]
Computed, not measured: an optimized crystal structure of Ba2Ga3BiAu4 at the PBE level of DFT.

Computed properties:
The formation energy comes out at -0.56 eV per atom. As for the space group: No. 115.

Cell: 4.9082 4.9082 10.5462 Å, 90.00 90.00 90.00°
Fractional positions:
1 Au 0.5000 0.5000 0.0000
2 Ga 0.5000 0.0000 0.8980
3 Ba 0.0000 0.5000 0.7587
4 Au 0.0000 0.0000 0.0000
5 Au 0.0000 0.5000 0.3468
6 Bi 0.5000 0.5000 0.5000
7 Au 0.5000 0.0000 0.6532
8 Ga 0.0000 0.0000 0.5000
9 Ga 0.0000 0.5000 0.1020
10 Ba 0.5000 0.0000 0.2413

=====

[9]
Computed, not measured: an optimized crystal structure of MgAl2As at the PBE level of DFT.

Computed properties:
The formation energy comes out at 0.07 eV per atom. As for the space group: No. 216. The calculation puts the distance to the lowest polymorph of the same formula at 13.9 kJ per mole of atoms.

Cell: 4.7462 4.7462 4.7462 Å, 60.00 60.00 60.00°
Fractional positions:
1 Mg 0.7500 0.7500 0.7500
2 As 0.5000 0.5000 0.5000
3 Al 0.0000 0.0000 0.0000
4 Al 0.2500 0.2500 0.2500

=====

[10]
Computed, not measured: an optimized crystal structure of Y2ReAs at the PBE level of DFT.

Computed properties:
The formation energy comes out at -0.17 eV per atom. As for the space group: No. 99.

Cell: 3.3175 3.3175 8.1887 Å, 90.00 90.00 90.00°
Fractional positions:
1 As 0.0000 0.0000 0.5555
2 Y 0.0000 0.0000 0.9385
3 Re 0.5000 0.5000 0.6955
4 Y 0.5000 0.5000 0.3106

=====

[11]
Computed, not measured: an optimized crystal structure of Sc3NbCo8 at the PBE level of DFT.

Computed properties:
The formation energy comes out at -0.29 eV per atom. As for the space group: No. 160.

Cell: 4.8375 4.8375 8.3700 Å, 73.22 73.22 60.00°
Last column: magnetic moment on the atom in μB.
Fractional positions:
1 Co 0.1873 0.1873 0.4379  0.81
2 Co 0.6874 0.6874 0.9379  0.87
3 Co 0.4379 0.4379 0.1921  0.72
4 Co 0.9320 0.4379 0.1921  0.72
5 Nb 0.8765 0.8765 0.3708  -0.34
6 Co 0.9380 0.4407 0.6833  0.90
7 Co 0.9380 0.9380 0.6833  0.91
8 Sc 0.3742 0.3742 0.8774  -0.22
9 Sc 0.0003 0.0003 0.9990  -0.19
10 Co 0.4407 0.9380 0.6833  0.90
11 Co 0.4379 0.9320 0.1921  0.72
12 Sc 0.4998 0.4998 0.5006  -0.20

=====

[12]
Computed, not measured: an optimized crystal structure of Sm2YTm5 at the PBE level of DFT.

Computed properties:
The formation energy comes out at 0.02 eV per atom. As for the space group: No. 55. The calculation puts the distance to the lowest polymorph of the same formula at 0.0 kJ per mole of atoms.

Cell: 4.9899 7.0678 14.1346 Å, 90.00 90.00 90.00°
Fractional positions:
1 Tm 0.0000 0.0000 0.0000
2 Tm 0.5000 0.2495 0.8744
3 Sm 0.5000 0.7509 0.8744
4 Tm 0.5000 0.7505 0.1256
5 Y 0.0000 0.0000 0.5000
6 Tm 0.0000 0.5000 0.7492
7 Tm 0.0000 0.5000 0.5000
8 Tm 0.5000 0.2505 0.3744
9 Tm 0.0000 0.5000 0.2507
10 Sm 0.5000 0.7491 0.3744
11 Tm 0.0000 0.0000 0.2492
12 Sm 0.5000 0.2491 0.1256
13 Tm 0.0000 0.0000 0.7508
14 Sm 0.5000 0.2509 0.6256
15 Tm 0.5000 0.7495 0.6256
16 Y 0.0000 0.5000 0.0000

=====

Number 1: calculated total energy -13.7 eV per cell. Number 2: calculated total energy -82.6 eV per cell. Number 3: calculated total energy -47.6 eV per cell. Number 4: calculated total energy -50.0 eV per cell. Number 5: calculated total energy -51.7 eV per cell. Number 6: calculated total energy -14.4 eV per cell. Number 7: calculated total energy -78.5 eV per cell. Number 8: calculated total energy -35.5 eV per cell. Number 9: calculated total energy -13.4 eV per cell. Number 10: calculated total energy -30.7 eV per cell. Number 11: calculated total energy -89.4 eV per cell. Number 12: calculated total energy -76.1 eV per cell.